# 1
Computed, not measured: a crystal of ScAlRu2 relaxed with PBEsol at the meta-GGA SCAN level of DFT.

abc: 3.0976 3.0976 6.0988
angles: 90.00 90.00 90.00
Last column: nearest neighbours and their distance in Å.
Fractional coordinates of all 4 atoms:
Al 0.5000 0.5000 0.5000  8 Ru 2.60
Ru 0.0000 0.0000 0.7307  4 Al 2.60, 4 Sc 2.74, 1 Ru 2.81
Ru 0.0000 0.0000 0.2693  4 Al 2.60, 4 Sc 2.74, 1 Ru 2.81
Sc 0.5000 0.5000 0.0000  8 Ru 2.74, 2 Al 3.05

---

# 2
Computed, not measured: a crystal of AgSb2TeOs relaxed with PBEsol at the meta-GGA SCAN level of DFT.

abc: 5.0837 5.0837 5.1610
angles: 90.00 90.00 90.00
Last column: nearest neighbours and their distance in Å.
Fractional coordinates of all 5 atoms:
Os 0.5000 0.5000 0.5000  4 Te 3.59, 8 Sb 3.62
Ag 0.0000 0.0000 0.0000  4 Sb 2.54, 2 Te 2.58
Sb 0.5000 0.0000 0.0000  2 Ag 2.54
Sb 0.0000 0.5000 0.0000  2 Ag 2.54
Te 0.0000 0.0000 0.5000  2 Ag 2.58

Output
Uncorrected formation energy ... 1744 meV/atom
Distance to the lowest polymorph of the same formula ... 5.00 eV/f.u.

---

# 3
Computed, not measured: a crystal of HfAl2ReSe relaxed with PBEsol at the meta-GGA SCAN level of DFT.

abc: 4.8620 5.1762 5.1762
angles: 90.00 90.00 90.00
Last column: nearest neighbours and their distance in Å.
Fractional coordinates of all 5 atoms:
Re 0.5000 0.5000 0.5000  8 Al 3.55, 4 Se 3.66
Se 0.5000 0.0000 0.0000  2 Hf 2.43
Hf 0.0000 0.0000 0.0000  2 Se 2.43, 4 Al 2.59
Al 0.0000 0.5000 0.0000  2 Hf 2.59
Al 0.0000 0.0000 0.5000  2 Hf 2.59

Output
Uncorrected formation energy ... 1566 meV/atom

---

# 4
Computed, not measured: a crystal of Li3MgRe relaxed with PBEsol at the meta-GGA SCAN level of DFT.

abc: 4.1938 4.1938 4.1938
angles: 90.00 90.00 90.00
Last column: nearest neighbours and their distance in Å.
Fractional coordinates of all 5 atoms:
Li 0.5000 0.0000 0.0000  2 Mg 2.10
Li 0.0000 0.0000 0.5000  2 Mg 2.10
Li 0.0000 0.5000 0.0000  2 Mg 2.10
Re 0.5000 0.5000 0.5000  12 Li 2.97
Mg 0.0000 0.0000 0.0000  6 Li 2.10

---

# 5
Computed, not measured: a crystal of LiPdAu2 relaxed with PBEsol at the meta-GGA SCAN level of DFT.

abc: 4.4315 4.4315 4.4315
angles: 60.00 60.00 60.00
Last column: nearest neighbours and their distance in Å.
Fractional coordinates of all 4 atoms:
Pd 0.5000 0.5000 0.5000  8 Au 2.71
Li 0.0000 0.0000 0.0000  8 Au 2.71
Au 0.2500 0.2500 0.2500  4 Pd 2.71, 4 Li 2.71
Au 0.7500 0.7500 0.7500  4 Pd 2.71, 4 Li 2.71

---

# 6
Computed, not measured: a crystal of LiSi2W relaxed with PBEsol at the meta-GGA SCAN level of DFT.

abc: 3.2944 3.2944 5.0055
angles: 90.00 90.00 90.00
Last column: nearest neighbours and their distance in Å.
Fractional coordinates of all 4 atoms:
Si 0.0000 0.0000 0.9850  2 W 2.49-2.52, 4 Li 2.58, 4 Si 2.73
Si 0.5000 0.5000 0.2701  2 Li 2.47-2.54, 4 W 2.56, 4 Si 2.73
W 0.0000 0.0000 0.4819  6 Si 2.49-2.56, 4 Li 2.72
Li 0.5000 0.5000 0.7630  6 Si 2.47-2.58, 4 W 2.72

Output
Uncorrected formation energy ... 117 meV/atom
Distance to the lowest polymorph of the same formula ... 0.27 eV/f.u.

---

# 7
Computed, not measured: a crystal of CrOsPb2 relaxed with PBEsol at the meta-GGA SCAN level of DFT.

abc: 4.7384 4.7384 4.7384
angles: 60.00 60.00 60.00
Last column: nearest neighbours and their distance in Å.
Fractional coordinates of all 4 atoms:
Os 0.5000 0.5000 0.5000  8 Pb 2.90
Pb 0.7500 0.7500 0.7500  4 Os 2.90, 4 Cr 2.90
Pb 0.2500 0.2500 0.2500  4 Cr 2.90, 4 Os 2.90
Cr 0.0000 0.0000 0.0000  8 Pb 2.90

Output
Distance to the lowest polymorph of the same formula ... 1.27 eV/f.u.

---

# 8
Computed, not measured: a crystal of FeIrPb2 relaxed with PBEsol at the meta-GGA SCAN level of DFT.

abc: 4.0802 3.8640 5.3618
angles: 111.12 90.00 90.00
Last column: nearest neighbours and their distance in Å.
Fractional coordinates of all 4 atoms:
Fe 0.0000 0.6891 0.3781  2 Ir 2.43
Ir 0.5000 0.5565 0.1130  2 Fe 2.43
Pb 0.5000 0.2688 0.5376  3 Ir 2.87-2.88, 4 Fe 2.92
Pb 0.0000 0.9701 0.9402  3 Fe 2.81-2.92, 4 Ir 2.94

Output
Distance to the lowest polymorph of the same formula ... 0.00 eV/f.u.

---

# 9
Computed, not measured: a crystal of YRh4Pb relaxed with PBEsol at the meta-GGA SCAN level of DFT.

abc: 5.2416 5.2416 5.2416
angles: 60.00 60.00 60.00
Last column: nearest neighbours and their distance in Å.
Fractional coordinates of all 6 atoms:
Rh 0.3744 0.3744 0.8769  6 Rh 2.61-2.63
Rh 0.3744 0.3744 0.3744  6 Rh 2.61-2.63
Rh 0.3744 0.8769 0.3744  6 Rh 2.61-2.63
Rh 0.8769 0.3744 0.3744  6 Rh 2.61-2.63
Pb 0.0000 0.0000 0.0000  12 Rh 3.07, 4 Y 3.21
Y 0.7500 0.7500 0.7500  12 Rh 3.07, 4 Pb 3.21

---

# 10
Computed, not measured: a crystal of CdPC2 relaxed with PBEsol at the meta-GGA SCAN level of DFT.

abc: 4.8999 5.3113 4.8999
angles: 117.47 90.00 117.47
Last column: nearest neighbours and their distance in Å.
Fractional coordinates of all 8 atoms:
P 0.7500 0.5000 0.2500  4 C 1.78
P 0.5000 0.0000 0.5000  4 C 1.78
C 0.4619 0.2500 0.3750  2 P 1.78
C 0.7881 0.2500 0.8750  2 P 1.78
C 0.1250 0.7500 0.5381  2 P 1.78
C 0.6250 0.7500 0.2119  2 P 1.78
Cd 0.0000 0.0000 0.0000  4 C 2.29
Cd 0.2500 0.5000 0.7500  4 C 2.29

---

# 11
Computed, not measured: a crystal of LiVF6 relaxed with PBEsol at the meta-GGA SCAN level of DFT.

abc: 4.7480 4.7480 8.5847
angles: 90.00 90.00 90.00
Last column: nearest neighbours and their distance in Å.
Fractional coordinates of all 16 atoms:
F 0.7336 0.7336 0.9875  1 V 1.79, 1 Li 1.97
F 0.3023 0.3023 0.3569  1 V 1.79
F 0.6782 0.6782 0.6507  1 V 1.79
F 0.8023 0.1977 0.8569  1 V 1.79
F 0.7664 0.2336 0.4875  1 V 1.79, 1 Li 1.97
F 0.6977 0.6977 0.3569  1 V 1.79
F 0.2664 0.2664 0.9875  1 V 1.79, 1 Li 1.97
F 0.2336 0.7664 0.4875  1 V 1.79, 1 Li 1.97
F 0.1782 0.8218 0.1507  1 V 1.79
F 0.8218 0.1782 0.1507  1 V 1.79
F 0.1977 0.8023 0.8569  1 V 1.79
F 0.3218 0.3218 0.6507  1 V 1.79
Li 0.0000 0.0000 0.3488  6 F 1.97-2.08
Li 0.5000 0.5000 0.8488  6 F 1.97-2.08
V 0.5000 0.5000 0.4960  6 F 1.79
V 0.0000 0.0000 0.9960  6 F 1.79

Output
Uncorrected formation energy ... -2957 meV/atom

---

# 12
Computed, not measured: a crystal of LaCo3Ir relaxed with PBEsol at the meta-GGA SCAN level of DFT.

abc: 4.3467 4.3467 4.3467
angles: 90.00 90.00 90.00
Last column: nearest neighbours and their distance in Å.
Fractional coordinates of all 5 atoms:
Co 0.0000 0.0000 0.5000  2 La 2.17
Co 0.0000 0.5000 0.0000  2 La 2.17
Co 0.5000 0.0000 0.0000  2 La 2.17
La 0.0000 0.0000 0.0000  6 Co 2.17
Ir 0.5000 0.5000 0.5000  12 Co 3.07

---

# 13
Computed, not measured: a crystal of GeBiCl3 relaxed with PBEsol at the meta-GGA SCAN level of DFT.

abc: 5.4117 5.4117 5.4117
angles: 90.00 90.00 90.00
Last column: nearest neighbours and their distance in Å.
Fractional coordinates of all 5 atoms:
Ge 0.5000 0.5000 0.5000  12 Cl 3.83
Cl 0.0000 0.0000 0.5000  2 Bi 2.71
Cl 0.5000 0.0000 0.0000  2 Bi 2.71
Cl 0.0000 0.5000 0.0000  2 Bi 2.71
Bi 0.0000 0.0000 0.0000  6 Cl 2.71

Output
Uncorrected formation energy ... 0 meV/atom

---

# 14
Computed, not measured: a crystal of TcTe2P relaxed with PBEsol at the meta-GGA SCAN level of DFT.

abc: 4.3403 4.4178 4.4193
angles: 107.78 90.00 90.00
Last column: nearest neighbours and their distance in Å.
Fractional coordinates of all 4 atoms:
P 0.0000 0.4404 0.5607  2 Tc 2.40
Te 0.0000 0.0598 0.9398  3 P 2.71-2.75, 2 Tc 2.75
Te 0.5000 0.7028 0.2968  3 Tc 2.69-2.90, 2 P 2.87
Tc 0.5000 0.2970 0.7027  2 P 2.40

Output
Uncorrected formation energy ... 119 meV/atom

---

# 15
Computed, not measured: a crystal of NaS2NO relaxed with PBEsol at the meta-GGA SCAN level of DFT.

abc: 4.4085 4.0513 4.0513
angles: 90.00 90.00 90.00
Last column: nearest neighbours and their distance in Å.
Fractional coordinates of all 5 atoms:
O 0.0000 0.0000 0.0000  4 S 2.03, 2 N 2.20
S 0.0000 0.5000 0.0000  2 O 2.03
S 0.0000 0.0000 0.5000  2 O 2.03
Na 0.5000 0.5000 0.5000  4 N 2.86, 8 S 2.99
N 0.5000 0.0000 0.0000  2 O 2.20

Output
Uncorrected formation energy ... 939 meV/atom

---

# 16
Computed, not measured: a crystal of ScTcCl2 relaxed with PBEsol at the meta-GGA SCAN level of DFT.

abc: 3.1422 4.4339 6.4239
angles: 94.47 104.16 90.00
Last column: nearest neighbours and their distance in Å.
Fractional coordinates of all 4 atoms:
Cl 0.8482 0.7792 0.6963  1 Tc 2.34, 2 Sc 2.59
Cl 0.1518 0.2208 0.3037  1 Tc 2.34, 2 Sc 2.59
Tc 0.0000 0.5000 0.0000  2 Cl 2.34
Sc 0.5000 0.0000 0.0000  4 Cl 2.59, 4 Tc 2.72

Output
Uncorrected formation energy ... -747 meV/atom
Distance to the lowest polymorph of the same formula ... 0.25 eV/f.u.

---

# 17
Computed, not measured: a crystal of CaPr3Fe4O12 relaxed with PBEsol at the meta-GGA SCAN level of DFT.

abc: 5.3710 5.3480 7.5658
angles: 90.00 90.00 90.00
Last column: nearest neighbours and their distance in Å.
Fractional coordinates of all 20 atoms:
Fe 0.5003 0.0005 0.7544  6 O 1.89-1.95
Fe 0.9996 0.4998 0.7546  6 O 1.89-1.95
Fe 0.9996 0.4998 0.2454  6 O 1.89-1.95
Fe 0.5003 0.0005 0.2456  6 O 1.89-1.95
O 0.2706 0.2720 0.2862  2 Fe 1.92-1.93
O 0.9397 0.5009 0.5000  2 Fe 1.95
O 0.7765 0.2242 0.7772  2 Fe 1.91
O 0.7260 0.7255 0.2149  2 Fe 1.92
O 0.7260 0.7255 0.7851  2 Fe 1.92
O 0.0652 0.5010 0.0000  2 Fe 1.89
O 0.5577 0.9909 0.5000  2 Fe 1.95
O 0.7765 0.2242 0.2228  2 Fe 1.91
O 0.4420 0.0143 0.0000  2 Fe 1.89
O 0.2706 0.2720 0.7138  2 Fe 1.92-1.93
O 0.2244 0.7755 0.2810  2 Fe 1.92-1.93
O 0.2244 0.7755 0.7190  2 Fe 1.92-1.93
Ca 0.5082 0.4711 0.0000  6 O 2.38-2.58
Pr 0.9943 0.9742 0.0000  8 O 2.41-2.68
Pr 0.0037 0.0266 0.5000  8 O 2.40-2.65
Pr 0.4945 0.5260 0.5000  6 O 2.40-2.57

Output
Uncorrected formation energy ... -2601 meV/atom

---

# 18
Computed, not measured: a crystal of LiSnS2 relaxed with PBEsol at the meta-GGA SCAN level of DFT.

abc: 3.7140 3.7140 6.4103
angles: 90.00 90.00 120.00
Last column: nearest neighbours and their distance in Å.
Fractional coordinates of all 4 atoms:
S 0.3333 0.6667 0.2572  3 Li 2.65, 3 Sn 2.71
S 0.6667 0.3333 0.7428  3 Li 2.65, 3 Sn 2.71
Sn 0.0000 0.0000 0.0000  6 S 2.71
Li 0.0000 0.0000 0.5000  6 S 2.65

Output
Uncorrected formation energy ... -730 meV/atom

---

# 19
Computed, not measured: a crystal of AlCrIn relaxed with PBEsol at the meta-GGA SCAN level of DFT.

abc: 3.1309 3.1309 5.4256
angles: 106.77 106.77 90.00
Last column: nearest neighbours and their distance in Å.
Fractional coordinates of all 3 atoms:
In 0.3253 0.3253 0.6506  4 Cr 2.81, 5 Al 2.96-2.99, 4 In 3.13
Al 0.0236 0.0236 0.0472  4 Cr 2.55
Cr 0.6511 0.6511 0.3022  4 Al 2.55, 4 In 2.81

Output
Distance to the lowest polymorph of the same formula ... 0.00 eV/f.u.

---

# 20
Computed, not measured: a crystal of CrCoPtI2 relaxed with PBEsol at the meta-GGA SCAN level of DFT.

abc: 4.2263 5.0363 5.0363
angles: 90.00 90.00 90.00
Last column: nearest neighbours and their distance in Å.
Fractional coordinates of all 5 atoms:
I 0.0000 0.5000 0.0000  2 Cr 2.52
I 0.0000 0.0000 0.5000  2 Cr 2.52
Co 0.5000 0.0000 0.0000  2 Cr 2.11
Cr 0.0000 0.0000 0.0000  2 Co 2.11
Pt 0.5000 0.5000 0.5000  8 I 3.29, 4 Co 3.56

Output
Uncorrected formation energy ... 1356 meV/atom

---

# 21
Computed, not measured: a crystal of Na2BO relaxed with PBEsol at the meta-GGA SCAN level of DFT.

abc: 4.2546 4.2546 4.2546
angles: 60.00 60.00 60.00
Last column: nearest neighbours and their distance in Å.
Fractional coordinates of all 4 atoms:
Na 0.7500 0.7500 0.7500  4 B 2.61, 4 O 2.61
Na 0.2500 0.2500 0.2500  4 B 2.61, 4 O 2.61
B 0.0000 0.0000 0.0000  8 Na 2.61
O 0.5000 0.5000 0.5000  8 Na 2.61

Output
Uncorrected formation energy ... 461 meV/atom

---

# 22
Computed, not measured: a crystal of NbMoS4 relaxed with PBEsol at the meta-GGA SCAN level of DFT.

abc: 3.2331 5.6080 6.2312
angles: 107.71 90.00 90.00
Last column: nearest neighbours and their distance in Å.
Fractional coordinates of all 6 atoms:
S 0.5000 0.2475 0.2581  2 Mo 2.41, 1 Nb 2.46
S 0.0000 0.5835 0.7364  1 Mo 2.40, 2 Nb 2.45
S 0.5000 0.0736 0.7430  2 Mo 2.41, 1 Nb 2.46
S 0.0000 0.7620 0.2643  1 Mo 2.40, 2 Nb 2.44
Nb 0.5000 0.5041 0.0014  6 S 2.44-2.46
Mo 0.0000 0.9972 0.0008  6 S 2.40-2.41

Output
Uncorrected formation energy ... -1015 meV/atom

---

# 23
Computed, not measured: a crystal of BaYMo2 relaxed with PBEsol at the meta-GGA SCAN level of DFT.

abc: 3.6317 5.5456 6.6137
angles: 112.29 90.00 109.11
Last column: nearest neighbours and their distance in Å.
Fractional coordinates of all 4 atoms:
Mo 0.7472 0.4945 0.8776  2 Mo 2.42
Mo 0.2528 0.5055 0.1224  2 Mo 2.42
Y 0.5000 0.0000 0.0000  6 Mo 3.01-3.04
Ba 0.0000 0.0000 0.5000  4 Mo 3.32, 2 Ba 3.63

Output
Distance to the lowest polymorph of the same formula ... 1.18 eV/f.u.

---

# 24
Computed, not measured: a crystal of CsWOF2 relaxed with PBEsol at the meta-GGA SCAN level of DFT.

abc: 4.3528 5.0461 5.0461
angles: 90.00 90.00 90.00
Last column: nearest neighbours and their distance in Å.
Fractional coordinates of all 5 atoms:
Cs 0.0000 0.0000 0.0000  2 O 2.18
F 0.0000 0.0000 0.5000  2 Cs 2.52
F 0.0000 0.5000 0.0000  2 Cs 2.52
O 0.5000 0.0000 0.0000  2 Cs 2.18
W 0.5000 0.5000 0.5000  8 F 3.33, 4 O 3.57

Output
Uncorrected formation energy ... 807 meV/atom

---

# 25
Computed, not measured: a crystal of MgInTe2N relaxed with PBEsol at the meta-GGA SCAN level of DFT.

abc: 3.9760 5.8041 5.8041
angles: 90.00 90.00 90.00
Last column: nearest neighbours and their distance in Å.
Fractional coordinates of all 5 atoms:
In 0.0000 0.0000 0.0000  2 N 1.99
Te 0.0000 0.5000 0.0000  2 In 2.90
Te 0.0000 0.0000 0.5000  2 In 2.90
Mg 0.5000 0.5000 0.5000  8 Te 3.52
N 0.5000 0.0000 0.0000  2 In 1.99

Output
Uncorrected formation energy ... 569 meV/atom

---

# 26
Computed, not measured: a crystal of POsW2 relaxed with PBEsol at the meta-GGA SCAN level of DFT.

abc: 3.6655 3.6655 4.2739
angles: 90.00 90.00 90.00
Last column: nearest neighbours and their distance in Å.
Fractional coordinates of all 4 atoms:
Os 0.5000 0.5000 0.5000  4 P 2.59, 8 W 2.82
W 0.5000 0.0000 0.0000  4 W 2.59, 4 Os 2.82, 4 P 2.82
W 0.0000 0.5000 0.0000  4 W 2.59, 4 P 2.82, 4 Os 2.82
P 0.0000 0.0000 0.5000  4 Os 2.59, 8 W 2.82

---

# 27
Computed, not measured: a crystal of SiGePS2 relaxed with PBEsol at the meta-GGA SCAN level of DFT.

abc: 4.6306 4.6032 4.6032
angles: 90.00 90.00 90.00
Last column: nearest neighbours and their distance in Å.
Fractional coordinates of all 5 atoms:
Ge 0.0000 0.0000 0.0000  4 S 2.30, 2 P 2.32
S 0.0000 0.0000 0.5000  2 Ge 2.30
S 0.0000 0.5000 0.0000  2 Ge 2.30
Si 0.5000 0.5000 0.5000  4 P 3.25, 8 S 3.26
P 0.5000 0.0000 0.0000  2 Ge 2.32

Output
Uncorrected formation energy ... 904 meV/atom

---

# 28
Computed, not measured: a crystal of K2NaBiBr6 relaxed with PBEsol at the meta-GGA SCAN level of DFT.

abc: 7.9715 7.9715 7.9715
angles: 60.00 60.00 60.00
Last column: nearest neighbours and their distance in Å.
Fractional coordinates of all 10 atoms:
Bi 0.0000 0.0000 0.0000  6 Br 2.82
Br 0.2497 0.7503 0.7503  1 Bi 2.82, 1 Na 2.82
Br 0.2497 0.7503 0.2497  1 Bi 2.82, 1 Na 2.82
Br 0.7503 0.2497 0.7503  1 Bi 2.82, 1 Na 2.82
Br 0.7503 0.2497 0.2497  1 Bi 2.82, 1 Na 2.82
Br 0.2497 0.2497 0.7503  1 Bi 2.82, 1 Na 2.82
Br 0.7503 0.7503 0.2497  1 Bi 2.82, 1 Na 2.82
K 0.2500 0.2500 0.2500  12 Br 3.99
K 0.7500 0.7500 0.7500  12 Br 3.99
Na 0.5000 0.5000 0.5000  6 Br 2.82

Output
Uncorrected formation energy ... -1367 meV/atom

---

For reference, electronic total energy by record: -23.61, -41.26, -32.30, -15.16, -43.74, -22.91, -59.74, -59.87, -40.20, -14.53, -8.10, -31.23, -24.32, -29.87, -6.86, -17.06, -16.95, -15.12, -19.74, -34.52, -5.06, -18.77, -33.51, -23.35, -23.86, -54.91, -10.85, -22.99 eV/atom.